Entry 1:
An optimized crystal structure of In2SiP, computed with PBE.

Calculated values
- Energy above the most stable polymorph in this dataset: 104 kJ/mol of formula units
- Total magnetization: 0.00 μB per atom

```
data_In2SiP
_space_group_name_H-M_alt 'I -4 m 2'
_space_group_IT_number 119
_space_group_name_Hall 'I -4 -2'
_cell_length_a 3.962
_cell_length_b 3.962
_cell_length_c 11.007
_cell_angle_alpha 90.00
_cell_angle_beta 90.00
_cell_angle_gamma 90.00
loop_
_atom_site_label
_atom_site_type_symbol
_atom_site_fract_x
_atom_site_fract_y
_atom_site_fract_z
_atom_site_occupancy
In1 In 0.000 0.000 0.000 1
In2 In 0.000 0.500 0.250 1
Si1 Si 0.000 0.000 0.500 1
P1 P 0.000 0.500 0.750 1
```


Entry 2:
An optimized crystal structure of InSiP, computed with PBE.

Calculated values
- Energy above the most stable polymorph in this dataset: 131 kJ/mol of formula units
- Total magnetization: 0.00 μB per atom

```
data_InSiP
_space_group_name_H-M_alt 'F -4 3 m'
_space_group_IT_number 216
_space_group_name_Hall 'F -4 2 3'
_cell_length_a 6.482
_cell_length_b 6.482
_cell_length_c 6.482
_cell_angle_alpha 90.00
_cell_angle_beta 90.00
_cell_angle_gamma 90.00
loop_
_atom_site_label
_atom_site_type_symbol
_atom_site_fract_x
_atom_site_fract_y
_atom_site_fract_z
_atom_site_occupancy
In1 In 0.000 0.000 0.000 1
Si1 Si 0.250 0.250 0.250 1
P1 P 0.250 0.250 0.750 1
```


Entry 3:
An optimized crystal structure of In2SiP, computed with PBE.

Calculated values
- Energy above the most stable polymorph in this dataset: 75 kJ/mol of formula units
- Total magnetization: 0.00 μB per atom

```
data_In2SiP
_space_group_name_H-M_alt 'C 1 2/m 1'
_space_group_IT_number 12
_cell_length_a 5.734
_cell_length_b 7.803
_cell_length_c 4.339
_cell_angle_alpha 90.00
_cell_angle_beta 115.52
_cell_angle_gamma 90.00
loop_
_space_group_symop_operation_xyz
'x,y,z'
'-x,-y,-z'
'-x,y,-z'
'x,-y,z'
'x+1/2,y+1/2,z'
'-x+1/2,-y+1/2,-z'
'-x+1/2,y+1/2,-z'
'x+1/2,-y+1/2,z'
loop_
_atom_site_label
_atom_site_type_symbol
_atom_site_fract_x
_atom_site_fract_y
_atom_site_fract_z
_atom_site_occupancy
In1 In 0.250 0.250 0.000 1
Si1 Si 0.000 0.000 0.500 1
P1 P 0.000 0.500 0.500 1
```


Entry 4:
An optimized crystal structure of In2SiP, computed with PBE.

Calculated values
- Energy above the most stable polymorph in this dataset: 44 kJ/mol of formula units
- Total magnetization: 0.00 μB per atom

```
data_In2SiP
_space_group_name_H-M_alt 'C m m 2'
_space_group_IT_number 35
_cell_length_a 3.426
_cell_length_b 5.590
_cell_length_c 9.540
_cell_angle_alpha 90.00
_cell_angle_beta 90.00
_cell_angle_gamma 90.00
loop_
_space_group_symop_operation_xyz
'x,y,z'
'-x,-y,z'
'-x,y,z'
'x,-y,z'
'x+1/2,y+1/2,z'
'-x+1/2,-y+1/2,z'
'-x+1/2,y+1/2,z'
'x+1/2,-y+1/2,z'
loop_
_atom_site_label
_atom_site_type_symbol
_atom_site_fract_x
_atom_site_fract_y
_atom_site_fract_z
_atom_site_occupancy
In1 In 0.000 0.000 0.000 1
In2 In 0.000 0.500 0.313 1
Si1 Si 0.000 0.500 0.732 1
P1 P 0.000 0.000 0.579 1
```


Entry 5:
An optimized crystal structure of In2SiP, computed with PBE.

Calculated values
- Energy above the most stable polymorph in this dataset: 108 kJ/mol of formula units
- Total magnetization: 0.00 μB per atom

```
data_In2SiP
_space_group_name_H-M_alt 'I m m m'
_space_group_IT_number 71
_space_group_name_Hall '-I 2 2'
_cell_length_a 3.892
_cell_length_b 5.609
_cell_length_c 7.978
_cell_angle_alpha 90.00
_cell_angle_beta 90.00
_cell_angle_gamma 90.00
loop_
_atom_site_label
_atom_site_type_symbol
_atom_site_fract_x
_atom_site_fract_y
_atom_site_fract_z
_atom_site_occupancy
In1 In 0.000 0.000 0.242 1
Si1 Si 0.000 0.500 0.000 1
P1 P 0.000 0.500 0.500 1
```


Entry 6:
An optimized crystal structure of InSiP2, computed with PBE.

Calculated values
- Energy above the most stable polymorph in this dataset: 0 kJ/mol of formula units
- Total magnetization: 0.00 μB per atom

```
data_InSiP2
_space_group_name_H-M_alt 'I -4 2 d'
_space_group_IT_number 122
_space_group_name_Hall 'I -4 2bw'
_cell_length_a 6.259
_cell_length_b 6.259
_cell_length_c 8.767
_cell_angle_alpha 90.00
_cell_angle_beta 90.00
_cell_angle_gamma 90.00
loop_
_atom_site_label
_atom_site_type_symbol
_atom_site_fract_x
_atom_site_fract_y
_atom_site_fract_z
_atom_site_occupancy
In1 In 0.000 0.000 0.000 1
Si1 Si 0.000 0.000 0.500 1
P1 P 0.195 0.750 0.625 1
```


Entry 7:
An optimized crystal structure of InSiP2, computed with PBE.

Calculated values
- Energy above the most stable polymorph in this dataset: 165 kJ/mol of formula units
- Total magnetization: 0.00 μB per atom

```
data_InSiP2
_space_group_name_H-M_alt 'I m m 2'
_space_group_IT_number 44
_cell_length_a 3.237
_cell_length_b 5.346
_cell_length_c 8.572
_cell_angle_alpha 90.00
_cell_angle_beta 90.00
_cell_angle_gamma 90.00
loop_
_space_group_symop_operation_xyz
'x,y,z'
'-x,-y,z'
'-x,y,z'
'x,-y,z'
'x+1/2,y+1/2,z+1/2'
'-x+1/2,-y+1/2,z+1/2'
'-x+1/2,y+1/2,z+1/2'
'x+1/2,-y+1/2,z+1/2'
loop_
_atom_site_label
_atom_site_type_symbol
_atom_site_fract_x
_atom_site_fract_y
_atom_site_fract_z
_atom_site_occupancy
In1 In 0.000 0.000 0.000 1
Si1 Si 0.000 0.500 0.205 1
P1 P 0.000 0.000 0.485 1
P2 P 0.000 0.500 0.797 1
```


Entry 8:
An optimized crystal structure of In2SiP, computed with PBE.

Calculated values
- Energy above the most stable polymorph in this dataset: 5 kJ/mol of formula units
- Total magnetization: 0.00 μB per atom

```
data_In2SiP
_space_group_name_H-M_alt 'I m m 2'
_space_group_IT_number 44
_cell_length_a 3.418
_cell_length_b 5.054
_cell_length_c 10.261
_cell_angle_alpha 90.00
_cell_angle_beta 90.00
_cell_angle_gamma 90.00
loop_
_space_group_symop_operation_xyz
'x,y,z'
'-x,-y,z'
'-x,y,z'
'x,-y,z'
'x+1/2,y+1/2,z+1/2'
'-x+1/2,-y+1/2,z+1/2'
'-x+1/2,y+1/2,z+1/2'
'x+1/2,-y+1/2,z+1/2'
loop_
_atom_site_label
_atom_site_type_symbol
_atom_site_fract_x
_atom_site_fract_y
_atom_site_fract_z
_atom_site_occupancy
In1 In 0.000 0.000 0.000 1
In2 In 0.000 0.500 0.206 1
Si1 Si 0.000 0.500 0.766 1
P1 P 0.000 0.000 0.416 1
```


Entry 9:
An optimized crystal structure of In2SiP, computed with PBE.

Calculated values
- Energy above the most stable polymorph in this dataset: 138 kJ/mol of formula units
- Total magnetization: 0.00 μB per atom

```
data_In2SiP
_space_group_name_H-M_alt 'F -4 3 m'
_space_group_IT_number 216
_space_group_name_Hall 'F -4 2 3'
_cell_length_a 6.963
_cell_length_b 6.963
_cell_length_c 6.963
_cell_angle_alpha 90.00
_cell_angle_beta 90.00
_cell_angle_gamma 90.00
loop_
_atom_site_label
_atom_site_type_symbol
_atom_site_fract_x
_atom_site_fract_y
_atom_site_fract_z
_atom_site_occupancy
In1 In 0.000 0.000 0.000 1
In2 In 0.250 0.250 0.250 1
Si1 Si 0.250 0.250 0.750 1
P1 P 0.000 0.000 0.500 1
```


Entry 10:
An optimized crystal structure of InSiP2, computed with PBE.

Calculated values
- Energy above the most stable polymorph in this dataset: 9 kJ/mol of formula units
- Total magnetization: 0.00 μB per atom

```
data_InSiP2
_space_group_name_H-M_alt 'R -3 m'
_space_group_IT_number 166
_space_group_name_Hall '-R 3 2"'
_cell_length_a 3.6438
_cell_length_b 3.6438
_cell_length_c 18.8022
_cell_angle_alpha 90.00
_cell_angle_beta 90.00
_cell_angle_gamma 120.00
loop_
_atom_site_label
_atom_site_type_symbol
_atom_site_fract_x
_atom_site_fract_y
_atom_site_fract_z
_atom_site_occupancy
In1 In 0.0000 0.0000 0.0000 1
Si1 Si 0.0000 0.0000 0.5000 1
P1 P 0.0000 0.0000 0.2351 1
```


Entry 11:
An optimized crystal structure of InSiP2, computed with PBE.

Calculated values
- Energy above the most stable polymorph in this dataset: 21 kJ/mol of formula units
- Total magnetization: 0.00 μB per atom

```
data_InSiP2
_space_group_name_H-M_alt 'P 4 m m'
_space_group_IT_number 99
_cell_length_a 3.577
_cell_length_b 3.577
_cell_length_c 6.111
_cell_angle_alpha 90.00
_cell_angle_beta 90.00
_cell_angle_gamma 90.00
loop_
_space_group_symop_operation_xyz
'x,y,z'
'-y,x,z'
'-x,-y,z'
'y,-x,z'
'-x,y,z'
'y,x,z'
'x,-y,z'
'-y,-x,z'
loop_
_atom_site_label
_atom_site_type_symbol
_atom_site_fract_x
_atom_site_fract_y
_atom_site_fract_z
_atom_site_occupancy
In1 In 0.000 0.000 0.000 1
Si1 Si 0.500 0.500 0.497 1
P1 P 0.000 0.000 0.573 1
P2 P 0.500 0.500 0.127 1
```


Entry 12:
An optimized crystal structure of In2SiP, computed with PBE.

Calculated values
- Energy above the most stable polymorph in this dataset: 3 kJ/mol of formula units
- Total magnetization: 0.00 μB per atom

```
data_In2SiP
_space_group_name_H-M_alt 'I -4 2 d'
_space_group_IT_number 122
_space_group_name_Hall 'I -4 2bw'
_cell_length_a 6.099
_cell_length_b 6.099
_cell_length_c 11.781
_cell_angle_alpha 90.00
_cell_angle_beta 90.00
_cell_angle_gamma 90.00
loop_
_atom_site_label
_atom_site_type_symbol
_atom_site_fract_x
_atom_site_fract_y
_atom_site_fract_z
_atom_site_occupancy
In1 In 0.244 0.250 0.125 1
Si1 Si 0.000 0.000 0.500 1
P1 P 0.000 0.000 0.000 1
```


Entry 13:
An optimized crystal structure of InSiP2, computed with PBE.

Calculated values
- Energy above the most stable polymorph in this dataset: 85 kJ/mol of formula units
- Total magnetization: 0.00 μB per atom

```
data_InSiP2
_space_group_name_H-M_alt 'C 1 m 1'
_space_group_IT_number 8
_cell_length_a 10.023
_cell_length_b 3.320
_cell_length_c 7.430
_cell_angle_alpha 90.00
_cell_angle_beta 132.35
_cell_angle_gamma 90.00
loop_
_space_group_symop_operation_xyz
'x,y,z'
'x,-y,z'
'x+1/2,y+1/2,z'
'x+1/2,-y+1/2,z'
loop_
_atom_site_label
_atom_site_type_symbol
_atom_site_fract_x
_atom_site_fract_y
_atom_site_fract_z
_atom_site_occupancy
In1 In 0.000 0.000 0.000 1
Si1 Si 0.241 0.000 0.481 1
P1 P 0.149 0.500 0.610 1
P2 P 0.462 0.500 0.610 1
```


Entry 14:
An optimized crystal structure of In2SiP, computed with PBE.

Calculated values
- Energy above the most stable polymorph in this dataset: 27 kJ/mol of formula units
- Total magnetization: 0.00 μB per atom

```
data_In2SiP
_space_group_name_H-M_alt 'R -3 m'
_space_group_IT_number 166
_space_group_name_Hall '-R 3 2"'
_cell_length_a 3.9200
_cell_length_b 3.9200
_cell_length_c 19.7446
_cell_angle_alpha 90.00
_cell_angle_beta 90.00
_cell_angle_gamma 120.00
loop_
_atom_site_label
_atom_site_type_symbol
_atom_site_fract_x
_atom_site_fract_y
_atom_site_fract_z
_atom_site_occupancy
In1 In 0.0000 0.0000 0.2462 1
Si1 Si 0.0000 0.0000 0.0000 1
P1 P 0.0000 0.0000 0.5000 1
```


Entry 15:
An optimized crystal structure of In2SiP, computed with PBE.

Calculated values
- Energy above the most stable polymorph in this dataset: 117 kJ/mol of formula units
- Total magnetization: 0.00 μB per atom

```
data_In2SiP
_space_group_name_H-M_alt 'F m -3 m'
_space_group_IT_number 225
_space_group_name_Hall '-F 4 2 3'
_cell_length_a 6.939
_cell_length_b 6.939
_cell_length_c 6.939
_cell_angle_alpha 90.00
_cell_angle_beta 90.00
_cell_angle_gamma 90.00
loop_
_atom_site_label
_atom_site_type_symbol
_atom_site_fract_x
_atom_site_fract_y
_atom_site_fract_z
_atom_site_occupancy
In1 In 0.250 0.250 0.250 1
Si1 Si 0.000 0.000 0.000 1
P1 P 0.000 0.000 0.500 1
```